The following is a PBE calculation of a relaxed structure of TlCu2P2O7, from Alexandria.

Cell: 8.9921 9.4155 16.7147 Å, 90.00 90.00 90.00°
Site moments in Bohr magnetons follow the coordinates.
Atoms (fractional coordinates):
Tl (0.7076, 0.4988, 0.6670)  0.00
Tl (0.7076, 0.0012, 0.1670)  0.00
Tl (0.2076, 0.4988, 0.8330)  0.00
Tl (0.7924, 0.9988, 0.6670)  0.00
Tl (0.2924, 0.9988, 0.8330)  0.00
Tl (0.2924, 0.5012, 0.3330)  0.00
Tl (0.2076, 0.0012, 0.3330)  0.00
Tl (0.7924, 0.5012, 0.1670)  0.00
Cu (0.0440, 0.7604, 0.6829)  0.09
Cu (0.9560, 0.2604, 0.8171)  0.09
Cu (0.7218, 0.0208, 0.9332)  0.62
Cu (0.2218, 0.4792, 0.0668)  0.62
Cu (0.2782, 0.5208, 0.5668)  0.62
Cu (0.5440, 0.7604, 0.8171)  0.09
Cu (0.0440, 0.7396, 0.1829)  0.09
Cu (0.9560, 0.2396, 0.3171)  0.09
Cu (0.7782, 0.5208, 0.9332)  0.62
Cu (0.5440, 0.7396, 0.3171)  0.09
Cu (0.4560, 0.2396, 0.1829)  0.09
Cu (0.7782, 0.9792, 0.4332)  0.62
Cu (0.4560, 0.2604, 0.6829)  0.09
Cu (0.2782, 0.9792, 0.0668)  0.62
Cu (0.2218, 0.0208, 0.5668)  0.62
Cu (0.7218, 0.4792, 0.4332)  0.62
P (0.9230, 0.7107, 0.5181)  0.00
P (0.9224, 0.7154, 0.3502)  0.00
P (0.4224, 0.7154, 0.1498)  0.00
P (0.0776, 0.2154, 0.1498)  0.00
P (0.5770, 0.2107, 0.5181)  0.00
P (0.0770, 0.2107, 0.9819)  0.00
P (0.4230, 0.7893, 0.4819)  0.00
P (0.9230, 0.7893, 0.0181)  0.00
P (0.5770, 0.2893, 0.0181)  0.00
P (0.5776, 0.2154, 0.3502)  0.00
P (0.9224, 0.7846, 0.8502)  0.00
P (0.4224, 0.7846, 0.6498)  0.00
P (0.5776, 0.2846, 0.8502)  0.00
P (0.4230, 0.7107, 0.9819)  0.00
P (0.0770, 0.2893, 0.4819)  0.00
P (0.0776, 0.2846, 0.6498)  0.00
O (0.4580, 0.1808, 0.5819)  0.03
O (0.3783, 0.6271, 0.6533)  0.07
O (0.6306, 0.3655, 0.5205)  0.07
O (0.1217, 0.3729, 0.1533)  0.07
O (0.0101, 0.6878, 0.4337)  0.00
O (0.5101, 0.6878, 0.0663)  0.00
O (0.0420, 0.8192, 0.0819)  0.03
O (0.7973, 0.6003, 0.5200)  0.06
O (0.7973, 0.8997, 0.0200)  0.06
O (0.6306, 0.1345, 0.0205)  0.07
O (0.9560, 0.1796, 0.2118)  0.02
O (0.7111, 0.3864, 0.8473)  0.06
O (0.8694, 0.8655, 0.5205)  0.07
O (0.2973, 0.6003, 0.9800)  0.06
O (0.5440, 0.6796, 0.2118)  0.02
O (0.4580, 0.3192, 0.0819)  0.03
O (0.9560, 0.3204, 0.7118)  0.02
O (0.2027, 0.1003, 0.9800)  0.06
O (0.2027, 0.3997, 0.4800)  0.06
O (0.7111, 0.1136, 0.3473)  0.06
O (0.4560, 0.1796, 0.2882)  0.02
O (0.9899, 0.3122, 0.5663)  0.00
O (0.6217, 0.3729, 0.3467)  0.07
O (0.6217, 0.1271, 0.8467)  0.07
O (0.5420, 0.8192, 0.4181)  0.03
O (0.3694, 0.8655, 0.9795)  0.07
O (0.1306, 0.1345, 0.4795)  0.07
O (0.2111, 0.3864, 0.6527)  0.06
O (0.2889, 0.6136, 0.1527)  0.06
O (0.7027, 0.3997, 0.0200)  0.06
O (0.2889, 0.8864, 0.6527)  0.06
O (0.9580, 0.1808, 0.9181)  0.03
O (0.0440, 0.6796, 0.2882)  0.02
O (0.4560, 0.3204, 0.7882)  0.02
O (0.7889, 0.6136, 0.3473)  0.06
O (0.0440, 0.8204, 0.7882)  0.02
O (0.8694, 0.6345, 0.0205)  0.07
O (0.5420, 0.6808, 0.9181)  0.03
O (0.8783, 0.6271, 0.8467)  0.07
O (0.4899, 0.1878, 0.4337)  0.00
O (0.7027, 0.1003, 0.5200)  0.06
O (0.9899, 0.1878, 0.0663)  0.00
O (0.5440, 0.8204, 0.7118)  0.02
O (0.1306, 0.3655, 0.9795)  0.07
O (0.2111, 0.1136, 0.1527)  0.06
O (0.3783, 0.8729, 0.1533)  0.07
O (0.9580, 0.3192, 0.4181)  0.03
O (0.1217, 0.1271, 0.6533)  0.07
O (0.5101, 0.8122, 0.5663)  0.00
O (0.2973, 0.8997, 0.4800)  0.06
O (0.0101, 0.8122, 0.9337)  0.00
O (0.7889, 0.8864, 0.8473)  0.06
O (0.8783, 0.8729, 0.3467)  0.07
O (0.4899, 0.3122, 0.9337)  0.00
O (0.0420, 0.6808, 0.5819)  0.03
O (0.3694, 0.6345, 0.4795)  0.07

Space-group type ... Pbca, No. 61
Fermi-level density of states ... 0.04 states/eV per atom
Uncorrected formation energy ... -1563 meV per atom